(1)
12
Lattice="5.272 0.000 0.000 -2.636 4.566 0.000 0.000 0.000 8.613" Properties=species:S:1:pos:R:3 comment="PuOs2 | the Alexandria database | SCAN | PBEsol geometry" crystal_system=hexagonal formation_energy_ev_per_atom=-0.03 pbc="T T T"
Pu 0.000 3.044 0.594
Pu 0.000 3.044 3.713
Pu 2.636 1.522 4.900
Pu 2.636 1.522 8.020
Os 0.000 0.000 0.000
Os 0.000 0.000 4.307
Os 0.000 1.559 6.460
Os -1.286 3.786 6.460
Os 1.350 0.780 2.153
Os 1.286 3.786 6.460
Os 3.922 0.780 2.153
Os 2.636 3.007 2.153


(2)
5
Lattice="4.551 0.000 0.000 0.000 4.551 0.000 0.000 0.000 4.537" Properties=species:S:1:pos:R:3 comment="RbRe2TcOs | the Alexandria database | SCAN | PBEsol geometry" crystal_system=tetragonal formation_energy_ev_per_atom=4.45 pbc="T T T"
Rb 0.000 0.000 0.000
Re 0.000 2.275 0.000
Re 2.275 0.000 0.000
Tc 2.275 2.275 2.268
Os 0.000 0.000 2.268


(3)
4
Lattice="0.000 3.192 3.192 3.192 0.000 3.192 3.192 3.192 0.000" Properties=species:S:1:pos:R:3 comment="RbOsRu2 | the Alexandria database | SCAN | PBEsol geometry" crystal_system=cubic formation_energy_ev_per_atom=1.78 pbc="T T T"
Rb 0.000 0.000 0.000
Os 3.192 3.192 3.192
Ru 1.596 1.596 1.596
Ru 4.787 4.787 4.787


(4)
5
Lattice="5.256 0.000 0.000 0.000 5.256 0.000 0.000 0.000 5.256" Properties=species:S:1:pos:R:3 comment="RbSb3Os | the Alexandria database | SCAN | PBEsol geometry" crystal_system=cubic e_form_raw_ev_per_atom=0.41 de_polymorph_ev_per_atom=0.000 pbc="T T T"
Rb 0.000 0.000 0.000
Sb 0.000 2.628 2.628
Sb 2.628 0.000 2.628
Sb 2.628 2.628 0.000
Os 2.628 2.628 2.628


(5)
5
Lattice="4.713 0.000 0.000 0.000 4.713 0.000 0.000 0.000 4.713" Properties=species:S:1:pos:R:3 comment="RbSbOs3 | the Alexandria database | SCAN | PBEsol geometry" crystal_system=cubic e_form_raw_ev_per_atom=4.16 pbc="T T T"
Rb 0.000 0.000 0.000
Sb 2.357 2.357 2.357
Os 0.000 0.000 2.357
Os 0.000 2.357 0.000
Os 2.357 0.000 0.000


(6)
5
Lattice="5.649 0.000 0.000 0.000 5.649 0.000 0.000 0.000 5.649" Properties=species:S:1:pos:R:3 comment="RbSb3Os | the Alexandria database | SCAN | PBEsol geometry" crystal_system=cubic e_form_raw_ev_per_atom=2.81 de_polymorph_ev_per_atom=2.401 pbc="T T T"
Rb 0.000 0.000 0.000
Sb 0.000 0.000 2.825
Sb 0.000 2.825 0.000
Sb 2.825 0.000 0.000
Os 2.825 2.825 2.825


(7)
5
Lattice="5.042 0.000 0.000 0.000 5.042 0.000 0.000 0.000 6.028" Properties=species:S:1:pos:R:3 comment="RbSb2TeOs | the Alexandria database | SCAN | PBEsol geometry" crystal_system=tetragonal e_form_raw_ev_per_atom=0.20 pbc="T T T"
Rb 0.000 0.000 0.000
Sb 0.000 2.521 3.014
Sb 2.521 0.000 3.014
Te 2.521 2.521 0.000
Os 2.521 2.521 3.014


(8)
5
Lattice="-1.735 1.735 13.059 1.735 -1.735 13.059 1.735 1.735 -13.059" Properties=species:S:1:pos:R:3 comment="Rb2ScOs2 | the Alexandria database | SCAN | PBEsol geometry" crystal_system=tetragonal formation_energy_ev_per_atom=1.03 pbc="T T T"
Rb 0.000 0.000 3.513
Rb 0.000 0.000 22.606
Sc 0.000 0.000 13.059
Os 1.735 0.000 6.530
Os 0.000 1.735 6.530


(9)
4
Lattice="1.953 1.127 10.121 -1.953 1.127 10.121 0.000 -2.255 10.121" Properties=species:S:1:pos:R:3 comment="RbSc2Os | the Alexandria database | SCAN | PBEsol geometry" crystal_system=trigonal formation_energy_ev_per_atom=0.14 pbc="T T T"
Rb 0.000 0.000 0.000
Sc 0.000 0.000 3.821
Sc 0.000 0.000 26.541
Os 0.000 0.000 15.181


(10)
5
Lattice="4.649 0.000 0.000 0.000 4.649 0.000 0.000 0.000 4.649" Properties=species:S:1:pos:R:3 comment="RbScOs3 | the Alexandria database | SCAN | PBEsol geometry" crystal_system=cubic formation_energy_ev_per_atom=3.47 pbc="T T T"
Rb 0.000 0.000 0.000
Sc 2.324 2.324 2.324
Os 0.000 0.000 2.324
Os 0.000 2.324 0.000
Os 2.324 0.000 0.000


(11)
5
Lattice="6.354 0.000 0.000 0.000 6.354 0.000 0.000 0.000 4.683" Properties=species:S:1:pos:R:3 comment="Rb2ScTaOs | the Alexandria database | SCAN | PBEsol geometry" crystal_system=tetragonal formation_energy_ev_per_atom=1.72 pbc="T T T"
Rb 0.000 3.177 0.000
Rb 3.177 0.000 0.000
Sc 0.000 0.000 2.341
Ta 3.177 3.177 2.341
Os 3.177 3.177 0.000


(12)
5
Lattice="4.767 0.000 0.000 0.000 4.767 0.000 0.000 0.000 4.761" Properties=species:S:1:pos:R:3 comment="RbSc2TiOs | the Alexandria database | SCAN | PBEsol geometry" crystal_system=tetragonal formation_energy_ev_per_atom=2.05 pbc="T T T"
Rb 0.000 0.000 0.000
Sc 0.000 2.383 0.000
Sc 2.383 0.000 0.000
Ti 2.383 2.383 2.380
Os 0.000 0.000 2.380


(13)
5
Lattice="4.647 0.000 0.000 0.000 4.647 0.000 0.000 0.000 4.647" Properties=species:S:1:pos:R:3 comment="RbOs3Se | the Alexandria database | SCAN | PBEsol geometry" crystal_system=cubic e_form_raw_ev_per_atom=2.04 pbc="T T T"
Rb 0.000 0.000 0.000
Os 0.000 2.323 2.323
Os 2.323 0.000 2.323
Os 2.323 2.323 0.000
Se 2.323 2.323 2.323


(14)
5
Lattice="4.550 0.000 0.000 0.000 4.550 0.000 0.000 0.000 4.550" Properties=species:S:1:pos:R:3 comment="RbOs3W | the Alexandria database | SCAN | PBEsol geometry" crystal_system=cubic formation_energy_ev_per_atom=4.59 pbc="T T T"
Rb 0.000 0.000 0.000
Os 0.000 0.000 2.275
Os 0.000 2.275 0.000
Os 2.275 0.000 0.000
W 2.275 2.275 2.275


(15)
5
Lattice="5.671 0.000 0.000 0.000 5.671 0.000 0.000 0.000 5.671" Properties=species:S:1:pos:R:3 comment="RbZn3Os | the Alexandria database | SCAN | PBEsol geometry" crystal_system=cubic formation_energy_ev_per_atom=2.39 pbc="T T T"
Rb 0.000 0.000 0.000
Zn 0.000 0.000 2.835
Zn 0.000 2.835 0.000
Zn 2.835 0.000 0.000
Os 2.835 2.835 2.835


(16)
5
Lattice="6.254 0.000 0.000 0.000 6.254 0.000 0.000 0.000 6.254" Properties=species:S:1:pos:R:3 comment="Rb3ZnOs | the Alexandria database | SCAN | PBEsol geometry" crystal_system=cubic formation_energy_ev_per_atom=1.25 pbc="T T T"
Rb 0.000 0.000 3.127
Rb 0.000 3.127 0.000
Rb 3.127 0.000 0.000
Zn 3.127 3.127 3.127
Os 0.000 0.000 0.000


(17)
6
Lattice="4.743 0.000 0.000 -2.372 4.108 0.000 0.000 0.000 4.313" Properties=species:S:1:pos:R:3 comment="ReOs5 | the Alexandria database | SCAN | PBEsol geometry" crystal_system=hexagonal de_polymorph_ev_per_atom=0.000 formation_energy_ev_per_atom=-0.06 pbc="T T T"
Re 0.000 0.000 0.000
Os -1.580 2.736 2.157
Os 0.000 2.739 0.000
Os 0.792 1.372 2.157
Os 3.159 0.000 2.157
Os 2.372 1.369 0.000


(18)
6
Lattice="4.410 0.000 0.000 0.000 1.377 7.159 0.000 -1.377 7.159" Properties=species:S:1:pos:R:3 comment="Re5Os | the Alexandria database | SCAN | PBEsol geometry" crystal_system=orthorhombic de_polymorph_ev_per_atom=0.005 formation_energy_ev_per_atom=-0.05 pbc="T T T"
Re 0.000 0.000 0.000
Re 0.000 0.000 4.740
Re 2.205 0.000 3.159
Re 2.205 0.000 7.937
Re 2.205 0.000 12.720
Os 0.000 0.000 9.541


(19)
6
Lattice="4.329 0.000 0.000 0.000 1.370 7.120 0.000 -1.370 7.120" Properties=species:S:1:pos:R:3 comment="ReOs5 | the Alexandria database | SCAN | PBEsol geometry" crystal_system=orthorhombic de_polymorph_ev_per_atom=0.010 formation_energy_ev_per_atom=-0.05 pbc="T T T"
Re 0.000 0.000 0.000
Os 0.000 0.000 4.725
Os 0.000 0.000 9.481
Os 2.164 0.000 1.569
Os 2.164 0.000 6.315
Os 2.164 0.000 11.066


(20)
6
Lattice="5.012 -1.374 0.000 5.012 1.374 0.000 -1.609 0.000 6.292" Properties=species:S:1:pos:R:3 comment="Re5Os | the Alexandria database | SCAN | PBEsol geometry" crystal_system=monoclinic de_polymorph_ev_per_atom=0.000 formation_energy_ev_per_atom=-0.05 pbc="T T T"
Re 0.000 0.000 0.000
Re -0.419 0.000 3.836
Re 2.247 0.000 4.183
Re 3.432 0.000 1.751
Re 5.703 0.000 5.947
Os 6.136 0.000 2.103


(21)
6
Lattice="4.945 -1.369 0.000 4.945 1.369 0.000 -1.520 0.000 6.254" Properties=species:S:1:pos:R:3 comment="ReOs2 | the Alexandria database | SCAN | PBEsol geometry" crystal_system=monoclinic de_polymorph_ev_per_atom=0.005 formation_energy_ev_per_atom=-0.08 pbc="T T T"
Re 1.699 0.000 0.878
Re 6.670 0.000 5.376
Os 0.567 0.000 3.305
Os 4.372 0.000 1.218
Os 3.997 0.000 5.036
Os 7.802 0.000 2.949


(22)
6
Lattice="1.372 -7.140 0.000 1.372 7.140 0.000 0.000 0.000 4.334" Properties=species:S:1:pos:R:3 comment="ReOs2 | the Alexandria database | SCAN | PBEsol geometry" crystal_system=orthorhombic de_polymorph_ev_per_atom=0.027 formation_energy_ev_per_atom=-0.06 pbc="T T T"
Re 1.372 3.981 3.251
Re 1.372 -3.981 1.084
Os 1.372 5.560 1.084
Os 1.372 0.795 1.084
Os 1.372 -0.795 3.251
Os 1.372 -5.560 3.251


(23)
6
Lattice="4.764 0.000 0.000 -2.382 4.125 0.000 0.000 0.000 4.411" Properties=species:S:1:pos:R:3 comment="Re5Os | the Alexandria database | SCAN | PBEsol geometry" crystal_system=hexagonal de_polymorph_ev_per_atom=0.005 formation_energy_ev_per_atom=-0.05 pbc="T T T"
Re -1.591 2.755 0.000
Re 0.791 1.371 0.000
Re 0.000 2.750 2.205
Re 2.382 1.375 2.205
Re 3.181 0.000 0.000
Os 0.000 0.000 2.205


(24)
6
Lattice="4.927 -1.368 0.000 4.927 1.368 0.000 -1.508 0.000 6.234" Properties=species:S:1:pos:R:3 comment="ReOs5 | the Alexandria database | SCAN | PBEsol geometry" crystal_system=monoclinic de_polymorph_ev_per_atom=0.011 formation_energy_ev_per_atom=-0.05 pbc="T T T"
Re 0.000 0.000 0.000
Os 2.652 0.000 0.343
Os 2.277 0.000 4.153
Os 4.934 0.000 4.503
Os 6.071 0.000 2.073
Os 8.725 0.000 2.422


(25)
6
Lattice="4.944 -1.369 0.000 4.944 1.369 0.000 -1.521 0.000 6.254" Properties=species:S:1:pos:R:3 comment="ReOs2 | the Alexandria database | SCAN | PBEsol geometry" crystal_system=monoclinic de_polymorph_ev_per_atom=0.000 formation_energy_ev_per_atom=-0.08 pbc="T T T"
Re 0.000 0.000 0.000
Re 6.100 0.000 2.097
Os 2.668 0.000 0.352
Os 2.293 0.000 4.169
Os 4.957 0.000 4.521
Os 8.756 0.000 2.436


(26)
4
Lattice="3.820 0.000 0.000 0.000 3.820 0.000 0.000 0.000 3.824" Properties=species:S:1:pos:R:3 comment="ReOs2Ru | the Alexandria database | SCAN | PBEsol geometry" crystal_system=tetragonal de_polymorph_ev_per_atom=0.146 formation_energy_ev_per_atom=0.06 pbc="T T T"
Re 0.000 0.000 0.000
Os 0.000 1.910 1.912
Os 1.910 0.000 1.912
Ru 1.910 1.910 0.000


(27)
4
Lattice="2.731 0.000 0.000 0.000 4.316 0.000 0.000 0.000 4.728" Properties=species:S:1:pos:R:3 comment="ReOs2Ru | the Alexandria database | SCAN | PBEsol geometry" crystal_system=orthorhombic de_polymorph_ev_per_atom=0.000 formation_energy_ev_per_atom=-0.09 pbc="T T T"
Re 0.000 0.000 0.000
Os 0.000 2.158 1.571
Os 1.365 0.000 2.352
Ru 1.365 2.158 3.945


(28)
4
Lattice="2.718 0.000 0.000 0.000 4.299 0.000 0.000 0.000 4.707" Properties=species:S:1:pos:R:3 comment="ReOsRu2 | the Alexandria database | SCAN | PBEsol geometry" crystal_system=orthorhombic de_polymorph_ev_per_atom=0.000 formation_energy_ev_per_atom=-0.09 pbc="T T T"
Re 0.000 0.000 0.000
Os 0.000 2.149 1.563
Ru 1.359 0.000 2.324
Ru 1.359 2.149 3.912


The records above yield volume values of 17.3 18.8 16.3 29.0 20.9 36.1 30.7 31.5 33.4 20.1 37.8 21.6 20.1 18.8 36.5 48.9 14.0 14.5 14.1 14.4 14.1 14.2 14.4 14.0 14.1 14.0 13.9 13.7 Å³/atom, respectively.
The records above yield size of the total moment values of 17.6 1.8 1.6 0.0 0.0 2.7 0.4 1.6 0.0 0.0 1.8 1.7 0.0 1.6 3.1 1.3 0.0 0.0 0.0 0.0 0.0 0.0 0.0 0.0 0.0 0.0 0.0 0.0 Bohr magnetons per cell, respectively.
The records above yield N(E_F) values of 7.6 4.6 3.8 5.7 5.8 7.0 4.8 5.5 3.0 5.2 4.7 4.5 6.3 5.9 7.2 4.5 2.5 4.3 3.3 4.0 1.8 1.7 4.3 3.4 1.8 2.9 2.6 2.5 states/eV/f.u., respectively.